Sr2PW: optimized geometry, GGA-PBE.

Cell lengths 5.7027, 5.7027, 3.0734 Å; angles 90.00, 90.00, 106.95 degrees
With the nearest neighbours (Å) after each atom.
Positions (direct):
Sr: 0.0000 0.5000 0.0000  4 Sr 3.07-3.39, 4 W 3.24, 4 P 3.24
Sr: 0.5000 0.0000 0.0000  4 Sr 3.07-3.39, 4 W 3.24, 4 P 3.24
P: 0.0000 0.0000 0.5000  2 P 3.07, 8 Sr 3.24, 2 W 3.39
W: 0.5000 0.5000 0.5000  2 W 3.07, 8 Sr 3.24, 2 P 3.39

Summary:
E_form (kJ/mol of atoms): 66.8
SG: Cmmm
Electronic total energy (eV/atom): -4.740
Volume (Å³ per cell): 96
Total magnetic moment (μB/atom): 0.000

***

Sr2PW: optimized geometry, GGA-PBE.

Cell lengths 3.9798, 3.9798, 6.5694 Å; angles 90.00, 90.00, 90.00 degrees
With the nearest neighbours (Å) after each atom.
Positions (direct):
Sr: 0.0000 0.0000 0.2299  1 Sr 3.02, 4 P 3.19, 4 W 3.33
Sr: 0.0000 0.0000 0.7701  1 Sr 3.02, 4 P 3.19, 4 W 3.33
P: 0.5000 0.5000 0.0000  8 Sr 3.19, 2 W 3.28
W: 0.5000 0.5000 0.5000  2 P 3.28, 8 Sr 3.33

Summary:
E_form (kJ/mol of atoms): 60.0
SG: P4/mmm
Electronic total energy (eV/atom): -4.810
Volume (Å³ per cell): 104
Total magnetic moment (μB/atom): 0.824

***

> Among the records above, which one has the lowest E_form?

number 2

***

> What is the electronic total energy in the second record?

-4.810 eV/atom